(1)
PmInPbBr6: relaxed, PBE.

The space group is P-31c (No. 163) and the conventional cell measures 7.7003, 7.7003 and 14.1613 Å, with angles of 90.00, 90.00 and 120.00 degrees. The inequivalent atoms are Pm at (0.3333, 0.6667, 0.2500), In at (0.0000, 0.0000, 0.0000), Pb at (0.3333, 0.6667, 0.7500) and Br at (0.0160, 0.3706, 0.1321).

As for the total magnetization: 0.00 μB per cell. The density comes out at 4.32 g/cm³. The uncorrected energy comes out at -3.66 eV per atom. The calculation puts the uncorrected formation energy at -1.298 eV/atom.

***

(2)
U4SeS3: relaxed, PBE.

The space group is C2/m (No. 12) and the conventional cell measures 11.080, 7.646 and 4.012 Å, with angles of 90.00, 94.59 and 90.00 degrees. The inequivalent atoms are U at (0.000, 0.238, 0.000), U at (0.244, 0.000, 0.498), Se at (0.000, 0.500, 0.500), S at (0.000, 0.000, 0.500) and S at (0.250, 0.250, 0.000).

As for the total magnetization: 18.86 μB per cell. The density comes out at 11.05 g/cm³. The uncorrected energy comes out at -8.90 eV per atom. The calculation puts the uncorrected formation energy at -1.272 eV/atom.

***

(3)
Dy2Tc3B4: relaxed, PBE.

The space group is P2_1/c (No. 14) and the conventional cell measures 6.258, 6.316 and 6.053 Å, with angles of 90.00, 107.86 and 90.00 degrees. The inequivalent atoms are Dy at (0.192, 0.168, 0.078), Tc at (0.255, 0.675, 0.253), Tc at (0.500, 0.000, 0.500), B at (0.082, 0.539, 0.895) and B at (0.494, 0.616, 0.616).

The calculation puts the formation enthalpy at 0 K at -0.43 eV per atom. As for the total magnetization: 0.00 μB per cell. The density comes out at 9.66 g/cm³. The uncorrected energy comes out at -7.87 eV per atom.

***

(4)
Tm3PuCl2O6: relaxed, PBE.

The space group is C2/m (No. 12) and the conventional cell measures 11.889, 6.660 and 5.384 Å, with angles of 90.00, 101.80 and 90.00 degrees. The inequivalent atoms are Tm at (0.000, 0.000, 0.000), Tm at (0.250, 0.250, 0.500), Pu at (0.000, 0.500, 0.500), Cl at (0.196, 0.000, 0.835), O at (0.067, 0.248, 0.290) and O at (0.176, 0.500, 0.665).

As for the total magnetization: 6.00 μB per cell. The density comes out at 7.30 g/cm³. The uncorrected energy comes out at -7.98 eV per atom. The calculation puts the uncorrected formation energy at -2.878 eV/atom.